First-principles (PBEsol) data for a relaxed Zn2InAs crystal, as listed in Alexandria.

## Properties
DOS at the Fermi energy: 1.596 states/eV/f.u.
ΔE_f: 0.140 eV per atom

Cell: 3.001 3.727 6.642 Å, 90.00 90.00 90.00°
Space group Pmm2 (No. 25)
One atom of each set of equivalent atoms:
Zn  0.000  0.000  0.000 x1
Zn  0.500  0.500  0.212 x1
In  0.500  0.500  0.739 x1
As  0.000  0.000  0.400 x1

First-principles (PBEsol) data for a relaxed PtAu crystal, as listed in Alexandria.

## Properties
DOS at the Fermi energy: 2.289 states/eV/f.u.
ΔE_f: 0.082 eV per atom

Cell: 4.027 4.027 7.855 Å, 90.00 90.00 90.00°
Space group I4_1/amd (No. 141, origin choice 2)
One atom of each set of equivalent atoms:
Pt  0.000  0.250  0.375 x4
Au  0.000  0.250  0.875 x4

First-principles (PBEsol) data for a relaxed NaMoAsO6 crystal, as listed in Alexandria.

## Properties
DOS at the Fermi energy: 0.000 states/eV/f.u.
energy above the lowest structure with this stoichiometry: 2 meV per atom
formation energy (no corrections): -38.984 kcal/mol of atoms

Cell: 6.560 7.571 10.113 Å, 90.00 90.00 90.00°
Space group P2_12_12_1 (No. 19)
One atom of each set of equivalent atoms:
Na  0.016  0.117  0.483 x4
Mo  0.234  0.700  0.680 x4
As  0.242  0.707  0.340 x4
O  0.034  0.845  0.337 x4
O  0.056  0.145  0.832 x4
O  0.223  0.905  0.611 x4
O  0.241  0.744  0.847 x4
O  0.245  0.584  0.200 x4
O  0.249  0.413  0.981 x4

First-principles (PBEsol) data for a relaxed P2HSBr crystal, as listed in Alexandria.

## Properties
DOS at the Fermi energy: 5.341 states/eV/f.u.
E_tot: -11.63 eV per cell

Cell: 4.904 4.904 4.876 Å, 90.00 90.00 90.00°
Space group P4/mmm (No. 123)
One atom of each set of equivalent atoms:
P  0.000  0.500  0.000 x2
H  0.000  0.000  0.500 x1
S  0.500  0.500  0.500 x1
Br  0.500  0.500  0.000 x1

First-principles (PBEsol) data for a relaxed RhWO3 crystal, as listed in Alexandria.

## Properties
DOS at the Fermi energy: 3.058 states/eV/f.u.
formation energy (no corrections): 9.500 kcal/mol of atoms

Cell: 3.842 3.842 3.842 Å, 90.00 90.00 90.00°
Space group Pm-3m (No. 221)
One atom of each set of equivalent atoms:
Rh  0.000  0.000  0.000 x1
W  0.500  0.500  0.500 x1
O  0.000  0.000  0.500 x3

First-principles (PBEsol) data for a relaxed TcSb crystal, as listed in Alexandria.

## Properties
DOS at the Fermi energy: 1.867 states/eV/f.u.
energy above the lowest structure with this stoichiometry: 750 meV per atom
formation energy (no corrections): 18.494 kcal/mol of atoms

Cell: 4.4878 4.4878 5.2823 Å, 90.00 90.00 120.00°
Space group P6_3/mmc (No. 194)
One atom of each set of equivalent atoms:
Tc  0.3333  0.6667  0.2500 x2
Sb  0.3333  0.6667  0.7500 x2